1.
{"formula": "NaTbSbPd", "functional": "PBE-GGA", "state": "optimized geometry", "final_energy_ev_per_fu": -17.64, "formation_energy_uncorrected_ev_per_fu": -2.4, "dos_at_fermi_per_ev_atom": 0.2866, "volume_a3_per_atom": 23.19, "lattice_angstrom": [[5.081, 0.000, 0.000], [2.541, 4.400, 0.000], [2.541, 1.467, 4.149]], "species": ["Na", "Sb", "Pd", "Tb"], "fractional_positions": [[0.000, 0.000, 0.000], [0.750, 0.750, 0.750], [0.250, 0.250, 0.250], [0.500, 0.500, 0.500]]}

=====

2.
{"formula": "NaSb2TePd", "functional": "PBE-GGA", "state": "optimized geometry", "final_energy_ev_per_fu": -17.79, "formation_energy_uncorrected_ev_per_fu": 0.1, "e_above_lowest_polymorph_kcal_per_mol_atoms": 0.000, "dos_at_fermi_per_ev_atom": 0.7349, "volume_a3_per_atom": 31.06, "lattice_angstrom": [[-0.723, 2.055, 4.725], [-1.098, -4.723, 1.886], [5.550, -0.811, 1.201]], "species": ["Sb", "Sb", "Pd", "Te", "Na"], "fractional_positions": [[0.000, 0.500, 0.000], [0.500, 0.000, 0.000], [0.000, 0.000, 0.000], [0.000, 0.000, 0.500], [0.500, 0.500, 0.500]]}

=====

3.
{"formula": "NaSb2TePd", "functional": "PBE-GGA", "state": "optimized geometry", "final_energy_ev_per_fu": -13.34, "formation_energy_uncorrected_ev_per_fu": 4.6, "e_above_lowest_polymorph_kcal_per_mol_atoms": 20.540, "dos_at_fermi_per_ev_atom": 0.6954, "volume_a3_per_atom": 30.14, "lattice_angstrom": [[-0.289, -5.092, -1.446], [3.491, -1.272, 3.782], [-4.025, -0.754, 3.461]], "species": ["Pd", "Na", "Sb", "Sb", "Te"], "fractional_positions": [[0.500, 0.500, 0.500], [0.000, 0.000, 0.000], [0.000, 0.500, 0.000], [0.500, 0.000, 0.000], [0.000, 0.000, 0.500]]}

=====

4.
{"formula": "Na2TlSb2Pd2", "functional": "PBE-GGA", "state": "optimized geometry", "final_energy_ev_per_fu": -24.05, "formation_energy_uncorrected_ev_per_fu": -0.4, "dos_at_fermi_per_ev_atom": 0.6623, "volume_a3_per_atom": 29.01, "lattice_angstrom": [[-2.165, 3.642, -2.866], [2.836, -1.461, -3.998], [-5.896, -6.069, 1.306]], "species": ["Pd", "Pd", "Na", "Na", "Tl", "Sb", "Sb"], "fractional_positions": [[0.500, 0.000, 0.000], [0.000, 0.500, 0.000], [0.194, 0.194, 0.389], [0.806, 0.806, 0.611], [0.000, 0.000, 0.000], [0.599, 0.599, 0.198], [0.401, 0.401, 0.802]]}

=====

5.
{"formula": "Na2TlSbPd", "functional": "PBE-GGA", "state": "optimized geometry", "final_energy_ev_per_fu": -15.24, "formation_energy_uncorrected_ev_per_fu": -0.9, "dos_at_fermi_per_ev_atom": 0.3944, "volume_a3_per_atom": 29.92, "lattice_angstrom": [[5.470, 0.000, 0.000], [0.000, 5.470, 0.000], [0.000, 0.000, 5.000]], "species": ["Pd", "Tl", "Sb", "Na", "Na"], "fractional_positions": [[0.000, 0.000, 0.000], [0.500, 0.500, 0.500], [0.000, 0.000, 0.500], [0.500, 0.000, 0.000], [0.000, 0.500, 0.000]]}

=====

6.
{"formula": "Na2Zn2SbPd5", "functional": "PBE-GGA", "state": "optimized geometry", "final_energy_ev_per_fu": -39.20, "formation_energy_uncorrected_ev_per_fu": -3.9, "dos_at_fermi_per_ev_atom": 0.3270, "volume_a3_per_atom": 17.62, "lattice_angstrom": [[3.730, 0.000, 0.000], [0.000, 9.721, 0.000], [0.000, 0.000, 9.721]], "species": ["Pd", "Pd", "Pd", "Pd", "Pd", "Pd", "Pd", "Pd", "Pd", "Pd", "Na", "Na", "Na", "Na", "Zn", "Zn", "Zn", "Zn", "Sb", "Sb"], "fractional_positions": [[0.500, 0.434, 0.295], [0.500, 0.705, 0.434], [0.500, 0.795, 0.934], [0.500, 0.000, 0.500], [0.500, 0.066, 0.795], [0.500, 0.934, 0.205], [0.500, 0.500, 0.000], [0.500, 0.295, 0.566], [0.500, 0.205, 0.066], [0.500, 0.566, 0.705], [0.000, 0.327, 0.827], [0.000, 0.827, 0.673], [0.000, 0.673, 0.173], [0.000, 0.173, 0.327], [0.000, 0.374, 0.126], [0.000, 0.874, 0.374], [0.000, 0.126, 0.626], [0.000, 0.626, 0.874], [0.000, 0.500, 0.500], [0.000, 0.000, 0.000]]}

=====

7.
{"formula": "Na2ZnSbPd", "functional": "PBE-GGA", "state": "optimized geometry", "final_energy_ev_per_fu": -12.60, "formation_energy_uncorrected_ev_per_fu": 0.6, "dos_at_fermi_per_ev_atom": 0.6335, "volume_a3_per_atom": 35.40, "lattice_angstrom": [[5.959, 0.000, 0.000], [0.000, 4.984, 0.000], [0.000, 0.000, 5.959]], "species": ["Zn", "Na", "Na", "Sb", "Pd"], "fractional_positions": [[0.500, 0.500, 0.500], [0.000, 0.000, 0.500], [0.500, 0.000, 0.000], [0.000, 0.000, 0.000], [0.000, 0.500, 0.000]]}

=====

8.
{"formula": "NaZr2SbPd", "functional": "PBE-GGA", "state": "optimized geometry", "final_energy_ev_per_fu": -21.74, "formation_energy_uncorrected_ev_per_fu": 6.0, "dos_at_fermi_per_ev_atom": 0.8507, "volume_a3_per_atom": 23.88, "lattice_angstrom": [[-3.920, 2.398, 1.779], [0.490, -2.373, 4.279], [2.945, 3.588, 1.652]], "species": ["Na", "Pd", "Zr", "Zr", "Sb"], "fractional_positions": [[0.000, 0.000, 0.000], [0.500, 0.500, 0.500], [0.000, 0.000, 0.500], [0.500, 0.000, 0.000], [0.000, 0.500, 0.000]]}